1.
Density functional theory data (meta-GGA SCAN) for SrIn2Se at its PBEsol-relaxed geometry.

CIF file:
```
data_SrIn2Se
_chemical_formula_sum 'Sr1 In2 Se1'
_space_group_name_H-M_alt 'P 1'
_space_group_IT_number 1
_cell_length_a 4.070
_cell_length_b 4.070
_cell_length_c 8.582
_cell_angle_alpha 76.28
_cell_angle_beta 76.28
_cell_angle_gamma 60.00
loop_
_space_group_symop_operation_xyz
'x,y,z'
loop_
_atom_site_label
_atom_site_fract_x
_atom_site_fract_y
_atom_site_fract_z
In1 0.010 0.010 0.969
In2 0.755 0.755 0.735
Se1 0.497 0.497 0.509
Sr1 0.238 0.238 0.287
```

Results
Symmetry ... No. 160
Calculated total energy ... -27.97 eV per atom
Size of the total moment ... 0.00 μB/atom
E_form (uncorrected) ... -688.2 meV per atom

2.
Density functional theory data (meta-GGA SCAN) for SrNb3NO7 at its PBEsol-relaxed geometry.

CIF file:
```
data_SrNb3NO7
_chemical_formula_sum 'Sr2 Nb6 N2 O14'
_space_group_name_H-M_alt 'P 1'
_space_group_IT_number 1
_cell_length_a 3.813
_cell_length_b 8.868
_cell_length_c 10.437
_cell_angle_alpha 90.51
_cell_angle_beta 100.53
_cell_angle_gamma 90.00
loop_
_space_group_symop_operation_xyz
'x,y,z'
loop_
_atom_site_label
_atom_site_fract_x
_atom_site_fract_y
_atom_site_fract_z
Sr1 0.019 0.750 0.039
Sr2 0.983 0.254 0.966
Nb1 0.376 0.940 0.751
Nb2 0.761 0.753 0.521
Nb3 0.368 0.545 0.735
Nb4 0.625 0.438 0.250
Nb5 0.234 0.230 0.468
Nb6 0.624 0.063 0.247
N1 0.573 0.253 0.145
N2 0.155 0.092 0.310
O1 0.560 0.916 0.120
O2 0.852 0.912 0.705
O3 0.705 0.908 0.409
O4 0.294 0.750 0.587
O5 0.427 0.755 0.855
O6 0.706 0.592 0.412
O7 0.854 0.598 0.708
O8 0.562 0.585 0.125
O9 0.438 0.420 0.875
O10 0.153 0.414 0.305
O11 0.298 0.407 0.596
O12 0.713 0.264 0.427
O13 0.299 0.088 0.598
O14 0.439 0.084 0.879
```

Results
Symmetry ... No. 8
Calculated total energy ... -17.16 eV per atom
Size of the total moment ... 0.00 μB/atom
E_form (uncorrected) ... -2615.3 meV per atom

Number 2 is which compound? SrNb3NO7